DFT (PBE-GGA) results for a relaxed K2ScCd crystal.

a = 5.255 Å, b = 5.255 Å, c = 9.783 Å
α = 85.28°, β = 85.28°, γ = 40.27°
Sites, in units of the cell vectors:
Sc (0.478, 0.478, 0.585)
K (0.024, 0.024, 0.931)
K (0.242, 0.242, 0.311)
Cd (0.755, 0.755, 0.672)

## Properties
- formation enthalpy at 0 K (eV/atom) = 0.284
- uncorrected energy (eV/atom) = -2.077
- ρ (kg/m3) = 2248
- SG = No. 8
- spin magnetization (μB/f.u.) = 0.1


DFT (PBE-GGA) results for a relaxed K2CdAg crystal.

a = 5.789 Å, b = 5.789 Å, c = 5.789 Å
α = 122.84°, β = 122.84°, γ = 85.14°
Sites, in units of the cell vectors:
K (0.000, 0.000, 0.000)
Cd (0.750, 0.250, 0.500)
K (0.250, 0.750, 0.500)
Ag (0.500, 0.500, 0.000)

## Properties
- E above lowest polymorph (eV/atom) = 0.118
- formation enthalpy at 0 K (eV/atom) = 0.076
- uncorrected energy (eV/atom) = -1.414
- ρ (kg/m3) = 3791
- SG = No. 119
- spin magnetization (μB/f.u.) = 0.0


DFT (PBE-GGA) results for a relaxed YCu2AgP crystal.

a = 5.156 Å, b = 5.178 Å, c = 5.156 Å
α = 90.00°, β = 90.00°, γ = 90.00°
Sites, in units of the cell vectors:
Cu (0.000, 0.000, 0.500)
Ag (0.500, 0.500, 0.500)
Cu (0.500, 0.000, 0.000)
Y (0.000, 0.000, 0.000)
P (0.000, 0.500, 0.000)

## Properties
- formation enthalpy at 0 K (eV/atom) = 1.024
- uncorrected energy (eV/atom) = -3.559
- ρ (kg/m3) = 4281
- SG = No. 123
- spin magnetization (μB/f.u.) = 0.0